# Hg2PtPb | Alexandria | PBE | relaxed
data_Hg2PtPb
_chemical_formula_sum 'Hg4 Pt2 Pb2'
_cell_length_a 6.9161
_cell_length_b 4.0310
_cell_length_c 7.8612
_cell_angle_alpha 90.00
_cell_angle_beta 106.40
_cell_angle_gamma 90.00
_space_group_name_H-M_alt 'C 1 m 1'
_space_group_IT_number 8
loop_
_space_group_symop_operation_xyz
'x,y,z'
'x,-y,z'
'x+1/2,y+1/2,z'
'x+1/2,-y+1/2,z'
loop_
_atom_site_label
_atom_site_type_symbol
_atom_site_fract_x
_atom_site_fract_y
_atom_site_fract_z
Hg1 Hg 0.0000 0.0000 0.0000
Hg2 Hg 0.2422 0.0000 0.7307
Pt1 Pt 0.2358 0.5000 0.2153
Pb1 Pb 0.4659 0.0000 0.4164
# Density of states at the Fermi level = 1.0 states/eV/f.u.
# M_tot = 0.00 μB per formula unit
# Formation enthalpy at 0 K = 0.00 eV/atom
# Crystal system = monoclinic